Record 1
VASP calculation (PBE) on a relaxed structure of La2UPt12Rh3.

As for the space-group type: R-3m, No. 166. The calculation puts the energy of formation from the pure elements at -0.45 eV/f.u.

Cell: 8.353 8.353 8.353 Å, 58.02 58.02 58.02°
Fractional positions:
1 Pt 0.621 0.621 0.141
2 Pt 0.141 0.621 0.621
3 Rh 0.000 0.500 0.000
4 La 0.380 0.380 0.380
5 Pt 0.859 0.379 0.379
6 Rh 0.000 0.000 0.500
7 Pt 0.610 0.129 0.129
8 Pt 0.379 0.379 0.859
9 Pt 0.129 0.129 0.610
10 Pt 0.390 0.871 0.871
11 Pt 0.379 0.859 0.379
12 La 0.620 0.620 0.620
13 U 0.000 0.000 0.000
14 Pt 0.621 0.141 0.621
15 Pt 0.871 0.871 0.390
16 Pt 0.129 0.610 0.129
17 Rh 0.500 0.000 0.000
18 Pt 0.871 0.390 0.871

=====

Record 2
VASP calculation (PBE) on a relaxed structure of ReOsRu4.

As for the space-group type: F-43m, No. 216. The calculation puts the energy of formation from the pure elements at 3.75 eV/f.u. The relative energy among the computed polymorphs comes out at 0.506 eV/atom.

Cell: 5.000 5.000 5.000 Å, 60.00 60.00 60.00°
Fractional positions:
1 Ru 0.625 0.126 0.625
2 Ru 0.625 0.625 0.126
3 Os 0.250 0.250 0.250
4 Re 0.000 0.000 0.000
5 Ru 0.625 0.625 0.625
6 Ru 0.126 0.625 0.625

=====

Record 3
VASP calculation (PBE) on a relaxed structure of NaLi12Cd6.

As for the space-group type: R-3, No. 148. The calculation puts the energy of formation from the pure elements at -2.40 eV/f.u.

Cell: 7.296 7.296 7.296 Å, 90.72 90.72 90.72°
Fractional positions:
1 Cd 0.882 0.288 0.728
2 Li 0.426 0.800 0.526
3 Li 0.975 0.835 0.614
4 Na 0.000 0.000 0.000
5 Cd 0.118 0.712 0.272
6 Li 0.800 0.526 0.426
7 Li 0.526 0.426 0.800
8 Li 0.474 0.574 0.200
9 Li 0.200 0.474 0.574
10 Cd 0.728 0.882 0.288
11 Li 0.165 0.386 0.025
12 Cd 0.272 0.118 0.712
13 Li 0.835 0.614 0.975
14 Li 0.386 0.025 0.165
15 Cd 0.288 0.728 0.882
16 Li 0.574 0.200 0.474
17 Li 0.614 0.975 0.835
18 Li 0.025 0.165 0.386
19 Cd 0.712 0.272 0.118

=====

Record 4
VASP calculation (PBE) on a relaxed structure of AcTlAgPd3.

As for the space-group type: Cmcm, No. 63. The calculation puts the energy of formation from the pure elements at -1.94 eV/f.u.

Cell: 7.343 5.977 6.986 Å, 115.33 90.00 90.00°
Fractional positions:
1 Pd 0.000 0.260 0.000
2 Pd 0.750 0.864 0.727
3 Ag 0.250 0.902 0.805
4 Pd 0.500 0.740 0.000
5 Ac 0.250 0.659 0.319
6 Tl 0.750 0.641 0.282
7 Pd 0.500 0.260 0.000
8 Pd 0.250 0.136 0.273
9 Tl 0.250 0.359 0.718
10 Ac 0.750 0.341 0.681
11 Ag 0.750 0.098 0.195
12 Pd 0.000 0.740 0.000

=====

no.,total energy (eV/atom)
1,-6.4523
2,-9.5056
3,-1.6934
4,-4.4738